(1)
# Nd2CuHRh6 | the Alexandria database | PBE-GGA | optimized geometry
# DOS(E_F), states/eV/atom: 1.1412
# Uncorrected energy, eV per atom: -6.42
data_Nd2CuHRh6
_cell_length_a 9.714
_cell_length_b 5.600
_cell_length_c 6.865
_cell_angle_alpha 90.00
_cell_angle_beta 118.10
_cell_angle_gamma 90.00
_space_group_name_H-M_alt 'C 1 2/m 1'
_space_group_IT_number 12
_space_group_name_Hall '-C 2y'
loop_
_atom_site_label
_atom_site_fract_x
_atom_site_fract_y
_atom_site_fract_z
_atom_site_occupancy
Nd1 0.217 0.000 0.152 1
Cu1 0.000 0.500 0.000 1
H1 0.000 0.000 0.500 1
Rh1 0.029 0.261 0.328 1
Rh2 0.231 0.000 0.671 1

(2)
# NdCu2H8Rh3 | the Alexandria database | PBE-GGA | optimized geometry
# DOS(E_F), states/eV/atom: 0.1641
# Uncorrected energy, eV per atom: -4.57
data_NdCu2H8Rh3
_cell_length_a 5.7955
_cell_length_b 5.7955
_cell_length_c 13.3297
_cell_angle_alpha 90.00
_cell_angle_beta 90.00
_cell_angle_gamma 120.00
_space_group_name_H-M_alt 'R 3 m'
_space_group_IT_number 160
_space_group_name_Hall 'R 3 -2"'
loop_
_atom_site_label
_atom_site_fract_x
_atom_site_fract_y
_atom_site_fract_z
_atom_site_occupancy
Nd1 0.0000 0.0000 0.0000 1
Cu1 0.0000 0.0000 0.3857 1
Cu2 0.0000 0.0000 0.7511 1
H1 0.0000 0.0000 0.1667 1
H2 0.0000 0.0000 0.6204 1
H3 0.0169 0.5085 0.1415 1
H4 0.2108 0.4215 0.9480 1
Rh1 0.1699 0.3397 0.2137 1

(3)
# NdCuH6Ru | the Alexandria database | PBE-GGA | optimized geometry
# DOS(E_F), states/eV/atom: 0.2413
# Uncorrected energy, eV per atom: -4.51
data_NdCuH6Ru
_cell_length_a 4.6532
_cell_length_b 4.6532
_cell_length_c 4.3420
_cell_angle_alpha 90.00
_cell_angle_beta 90.00
_cell_angle_gamma 120.00
_space_group_name_H-M_alt 'P -6 m 2'
_space_group_IT_number 187
_space_group_name_Hall 'P -6 2'
loop_
_atom_site_label
_atom_site_fract_x
_atom_site_fract_y
_atom_site_fract_z
_atom_site_occupancy
Nd1 0.0000 0.0000 0.0000 1
Cu1 0.6667 0.3333 0.5000 1
H1 0.0138 0.5069 0.2402 1
Ru1 0.3333 0.6667 0.5000 1

(4)
# CuNi6H3 | the Alexandria database | PBE-GGA | optimized geometry
# DOS(E_F), states/eV/atom: 0.9597
# Uncorrected energy, eV per atom: -4.76
data_CuNi6H3
_cell_length_a 5.029
_cell_length_b 5.037
_cell_length_c 5.048
_cell_angle_alpha 90.42
_cell_angle_beta 119.54
_cell_angle_gamma 119.84
_space_group_name_H-M_alt 'P 1'
_space_group_IT_number 1
_space_group_name_Hall 'P 1'
loop_
_atom_site_label
_atom_site_fract_x
_atom_site_fract_y
_atom_site_fract_z
_atom_site_occupancy
Cu1 0.000 0.000 0.000 1
Ni1 0.001 0.500 0.003 1
Ni2 0.500 0.999 0.502 1
Ni3 0.502 0.502 0.502 1
Ni4 0.503 0.003 0.004 1
Ni5 0.505 0.501 0.005 1
Ni6 0.999 0.002 0.502 1
H1 0.479 0.242 0.720 1
H2 0.496 0.749 0.244 1
H3 0.813 0.406 0.219 1

(5)
# CuNi5H8 | the Alexandria database | PBE-GGA | optimized geometry
# DOS(E_F), states/eV/atom: 0.3161
# Uncorrected energy, eV per atom: -4.23
data_CuNi5H8
_cell_length_a 2.617
_cell_length_b 5.237
_cell_length_c 6.827
_cell_angle_alpha 100.69
_cell_angle_beta 99.67
_cell_angle_gamma 98.48
_space_group_name_H-M_alt 'P 1'
_space_group_IT_number 1
_space_group_name_Hall 'P 1'
loop_
_atom_site_label
_atom_site_fract_x
_atom_site_fract_y
_atom_site_fract_z
_atom_site_occupancy
Cu1 0.000 0.000 0.000 1
Ni1 0.227 0.825 0.353 1
Ni2 0.231 0.332 0.340 1
Ni3 0.569 0.490 0.006 1
Ni4 0.905 0.157 0.644 1
Ni5 0.931 0.656 0.667 1
H1 0.150 0.697 0.109 1
H2 0.321 0.936 0.627 1
H3 0.442 0.365 0.601 1
H4 0.540 0.707 0.836 1
H5 0.606 0.266 0.167 1
H6 0.700 0.622 0.402 1
H7 0.818 0.049 0.374 1
H8 0.978 0.296 0.888 1

(6)
# Cu3NiH | the Alexandria database | PBE-GGA | optimized geometry
# DOS(E_F), states/eV/atom: 0.4287
# Uncorrected energy, eV per atom: -4.14
data_Cu3NiH
_cell_length_a 3.663
_cell_length_b 3.663
_cell_length_c 3.663
_cell_angle_alpha 90.00
_cell_angle_beta 90.00
_cell_angle_gamma 90.00
_space_group_name_H-M_alt 'P m -3 m'
_space_group_IT_number 221
_space_group_name_Hall '-P 4 2 3'
loop_
_atom_site_label
_atom_site_fract_x
_atom_site_fract_y
_atom_site_fract_z
_atom_site_occupancy
Cu1 0.000 0.000 0.500 1
Ni1 0.500 0.500 0.500 1
H1 0.000 0.000 0.000 1

(7)
# CuNiH2 | the Alexandria database | PBE-GGA | optimized geometry
# DOS(E_F), states/eV/atom: 0.2287
# Uncorrected energy, eV per atom: -3.74
data_CuNiH2
_cell_length_a 4.865
_cell_length_b 4.865
_cell_length_c 4.865
_cell_angle_alpha 90.00
_cell_angle_beta 90.00
_cell_angle_gamma 90.00
_space_group_name_H-M_alt 'F m -3 m'
_space_group_IT_number 225
_space_group_name_Hall '-F 4 2 3'
loop_
_atom_site_label
_atom_site_fract_x
_atom_site_fract_y
_atom_site_fract_z
_atom_site_occupancy
Cu1 0.000 0.000 0.000 1
Ni1 0.000 0.000 0.500 1
H1 0.250 0.250 0.250 1

(8)
# CuNi2H | the Alexandria database | PBE-GGA | optimized geometry
# DOS(E_F), states/eV/atom: 0.8346
# Uncorrected energy, eV per atom: -4.77
data_CuNi2H
_cell_length_a 2.5516
_cell_length_b 2.5516
_cell_length_c 18.9072
_cell_angle_alpha 90.00
_cell_angle_beta 90.00
_cell_angle_gamma 120.00
_space_group_name_H-M_alt 'R -3 m'
_space_group_IT_number 166
_space_group_name_Hall '-R 3 2"'
loop_
_atom_site_label
_atom_site_fract_x
_atom_site_fract_y
_atom_site_fract_z
_atom_site_occupancy
Cu1 0.0000 0.0000 0.0000 1
Ni1 0.0000 0.0000 0.2242 1
H1 0.0000 0.0000 0.5000 1